Record 1
DFT (PBE-GGA) results for an optimized crystal structure of Cd2SiTe.

Cell: 5.1257 5.1257 5.1257 Å, 60.00 60.00 60.00°
Closest atoms and distances in Å follow each position.
Fractional positions:
Si  0.0000  0.0000  0.0000  8 Cd 3.14
Te  0.5000  0.5000  0.5000  8 Cd 3.14
Cd  0.2500  0.2500  0.2500  4 Te 3.14, 4 Si 3.14
Cd  0.7500  0.7500  0.7500  4 Te 3.14, 4 Si 3.14

Results
As for the density of states at the Fermi level: 3.98 states/eV per cell. Its energy above the most stable polymorph in this dataset is 119 kJ/mol of formula units. Its total energy is -8.64 eV per cell. As for the formation energy (no corrections): 0.44 eV per atom. As for the symmetry: No. 225.

Record 2
DFT (PBE-GGA) results for an optimized crystal structure of Cd2SiTe.

Cell: 5.1392 5.1392 5.1392 Å, 60.00 60.00 60.00°
Closest atoms and distances in Å follow each position.
Fractional positions:
Cd  0.0000  0.0000  0.0000  4 Te 3.15, 4 Cd 3.15
Cd  0.7500  0.7500  0.7500  4 Cd 3.15, 4 Si 3.15
Si  0.5000  0.5000  0.5000  4 Cd 3.15, 4 Te 3.15
Te  0.2500  0.2500  0.2500  4 Si 3.15, 4 Cd 3.15

Results
As for the density of states at the Fermi level: 3.94 states/eV per cell. Its energy above the most stable polymorph in this dataset is 109 kJ/mol of formula units. Its total energy is -8.74 eV per cell. As for the formation energy (no corrections): 0.41 eV per atom. As for the symmetry: No. 216.

Record 3
DFT (PBE-GGA) results for an optimized crystal structure of CdSiTe3.

Cell: 5.3001 5.3001 5.3001 Å, 90.00 90.00 90.00°
Closest atoms and distances in Å follow each position.
Fractional positions:
Si  0.0000  0.0000  0.0000  6 Te 2.65
Te  0.0000  0.5000  0.0000  2 Si 2.65
Te  0.0000  0.0000  0.5000  2 Si 2.65
Te  0.5000  0.0000  0.0000  2 Si 2.65
Cd  0.5000  0.5000  0.5000  12 Te 3.75

Results
As for the density of states at the Fermi level: 3.89 states/eV per cell. Its energy above the most stable polymorph in this dataset is 0 kJ/mol of formula units. Its total energy is -14.03 eV per cell. As for the formation energy (no corrections): 0.35 eV per atom. As for the symmetry: No. 221.

Record 4
DFT (PBE-GGA) results for an optimized crystal structure of CdSiTe.

Cell: 3.9493 3.9493 5.5711 Å, 90.00 90.00 120.00°
Closest atoms and distances in Å follow each position.
Fractional positions:
Cd  0.0000  0.0000  0.0321  3 Si 2.86
Si  0.6667  0.3333  0.3409  3 Te 2.78, 3 Cd 2.86
Te  0.3333  0.6667  0.6270  3 Si 2.78

Results
As for the density of states at the Fermi level: 1.35 states/eV per cell. Its energy above the most stable polymorph in this dataset is 0 kJ/mol of formula units. Its total energy is -8.94 eV per cell. As for the formation energy (no corrections): 0.18 eV per atom. As for the symmetry: No. 156.

Record 5
DFT (PBE-GGA) results for an optimized crystal structure of CdSiTe2.

Cell: 4.2533 6.6921 3.9401 Å, 90.00 90.00 90.00°
Closest atoms and distances in Å follow each position.
Fractional positions:
Cd  0.5000  0.0000  0.5000  4 Te 2.90
Si  0.0000  0.5000  0.5000  4 Te 2.90
Te  0.0000  0.0000  0.0000  4 Cd 2.90
Te  0.5000  0.5000  0.0000  4 Si 2.90

Results
As for the density of states at the Fermi level: 1.99 states/eV per cell. Its energy above the most stable polymorph in this dataset is 135 kJ/mol of formula units. Its total energy is -11.38 eV per cell. As for the formation energy (no corrections): 0.31 eV per atom. As for the symmetry: No. 47.

Record 6
DFT (PBE-GGA) results for an optimized crystal structure of CdSiTe2.

Cell: 4.1068 3.0177 9.2118 Å, 106.56 90.00 90.00°
Closest atoms and distances in Å follow each position.
Fractional positions:
Cd  0.5000  0.2500  0.2500  2 Cd 3.02, 4 Te 3.20
Si  0.5000  0.7500  0.7500  4 Te 2.84, 2 Si 3.02
Te  0.0000  0.9410  0.9723  2 Si 2.84, 2 Te 3.02
Te  0.0000  0.5590  0.5277  2 Si 2.84, 2 Te 3.02

Results
As for the density of states at the Fermi level: 2.04 states/eV per cell. Its energy above the most stable polymorph in this dataset is 74 kJ/mol of formula units. Its total energy is -12.02 eV per cell. As for the formation energy (no corrections): 0.15 eV per atom. As for the symmetry: No. 10.